Here is a relaxed Re2RhCl crystal from Alexandria via LeMat-Bulk. Energies are from PBE.

Structure (POSCAR):
```
Re2RhCl
1.0
1.425 0.823 8.538
-1.425 0.823 8.538
0.000 -1.646 8.538
Re Rh Cl
2 1 1
Direct
0.000 0.000 0.000
0.250 0.250 0.250
0.500 0.500 0.500
0.746 0.746 0.746
```

ΔE to the lowest computed polymorph (meV/atom): 0.0
SG: R3m, No. 160
Calculated total energy (eV per atom): -8.253
ΔE_f (raw) (eV/atom): 0.27